First-principles (PBE) data for a relaxed Rb2ReN2 crystal, as listed in the Alexandria database.

a = 3.5826 Å, b = 6.4913 Å, c = 10.0872 Å
α = 90.00°, β = 90.10°, γ = 90.00°
Fractional coordinates of all 10 atoms:
Rb1 0.0000 0.8334 0.9457
Rb2 0.0011 0.4613 0.3995
Rb3 0.0000 0.3334 0.0543
Rb4 0.9989 0.9613 0.6005
N1 0.5003 0.6614 0.1853
N2 0.4997 0.1614 0.8147
Re1 0.5004 0.9034 0.2598
N3 0.9995 0.5061 0.7100
Re2 0.4996 0.4034 0.7402
N4 0.0005 0.0061 0.2900

Output
Density of states at the Fermi level   0.297 states/eV/atom
Theoretical density   5.45 g/cm3
ΔE_f (raw)   -105 meV per atom
Electronic total energy   -6.312 eV per atom

First-principles (PBE) data for a relaxed Pr3DyIn crystal, as listed in the Alexandria database.

a = 4.9487 Å, b = 4.9460 Å, c = 13.1987 Å
α = 90.00°, β = 79.19°, γ = 90.00°
Fractional coordinates of all 10 atoms:
Pr1 0.5735 0.2500 0.5013
Pr2 0.3805 0.2500 0.8874
Pr3 0.2679 0.7500 0.1126
Pr4 0.0748 0.7500 0.4987
Dy1 0.4762 0.7500 0.6959
Pr5 0.8782 0.7500 0.8919
In1 0.9777 0.2500 0.6929
Pr6 0.7701 0.2500 0.1081
Dy2 0.1721 0.2500 0.3041
In2 0.6706 0.7500 0.3071

Output
Relative energy among the computed polymorphs   0.000 eV/atom
Density of states at the Fermi level   1.224 states/eV/atom
Theoretical density   7.33 g/cm3
DFT formation energy   -18.12 kJ/mol of atoms
Electronic total energy   -4.524 eV per atom

First-principles (PBE) data for a relaxed YMoBr crystal, as listed in the Alexandria database.

a = 4.6197 Å, b = 4.6197 Å, c = 4.6197 Å
α = 60.00°, β = 60.00°, γ = 60.00°
Site moments in Bohr magnetons follow the coordinates.
Fractional coordinates of all 3 atoms:
Br1 0.7500 0.7500 0.7500  0.01
Y1 0.5000 0.5000 0.5000  0.00
Mo1 0.0000 0.0000 0.0000  1.60

Output
Relative energy among the computed polymorphs   0.507 eV/atom
Density of states at the Fermi level   0.493 states/eV/atom
Theoretical density   6.31 g/cm3
ΔE_f (raw)   695 meV per atom
Electronic total energy   -5.627 eV per atom

First-principles (PBE) data for a relaxed Co2HgPt crystal, as listed in the Alexandria database.

a = 4.7144 Å, b = 4.7144 Å, c = 4.7144 Å
α = 130.77°, β = 130.74°, γ = 72.20°
Site moments in Bohr magnetons follow the coordinates.
Fractional coordinates of all 4 atoms:
Co1 0.0000 0.0000 0.0000  1.74
Co2 0.5000 0.5000 0.0000  1.74
Hg1 0.7500 0.2500 0.5000  -0.04
Pt1 0.2500 0.7500 0.5000  0.19

Output
Density of states at the Fermi level   1.526 states/eV/atom
Theoretical density   14.51 g/cm3
DFT formation energy   26.47 kJ/mol of atoms
Electronic total energy   -4.864 eV per atom

First-principles (PBE) data for a relaxed AcPr5Nd crystal, as listed in the Alexandria database.

a = 6.8589 Å, b = 6.8589 Å, c = 12.4368 Å
α = 105.86°, β = 105.86°, γ = 97.35°
Fractional coordinates of all 14 atoms:
Pr1 0.0274 0.3861 0.3334
Pr2 0.8341 0.1659 0.7500
Nd1 0.4931 0.5069 0.7500
Nd2 0.5069 0.4931 0.2500
Pr3 0.4664 0.7600 0.5353
Pr4 0.2400 0.5336 0.9647
Pr5 0.5336 0.2400 0.4647
Pr6 0.3861 0.0274 0.8334
Ac1 0.0000 0.0000 0.5000
Pr7 0.1659 0.8341 0.2500
Pr8 0.7600 0.4664 0.0353
Ac2 0.0000 0.0000 0.0000
Pr9 0.9726 0.6139 0.6666
Pr10 0.6139 0.9726 0.1666

Output
Relative energy among the computed polymorphs   0.000 eV/atom
Density of states at the Fermi level   1.513 states/eV/atom
Theoretical density   6.76 g/cm3
DFT formation energy   7.58 kJ/mol of atoms
Electronic total energy   -4.603 eV per atom

First-principles (PBE) data for a relaxed LiNiGeS2 crystal, as listed in the Alexandria database.

a = 4.7108 Å, b = 4.3612 Å, c = 4.7108 Å
α = 90.00°, β = 90.00°, γ = 90.00°
Fractional coordinates of all 5 atoms:
S1 0.5000 0.0000 0.0000
Ge1 0.0000 0.5000 0.0000
Li1 0.5000 0.5000 0.5000
S2 0.0000 0.0000 0.5000
Ni1 0.0000 0.0000 0.0000

Output
Density of states at the Fermi level   0.595 states/eV/atom
Theoretical density   3.47 g/cm3
ΔE_f (raw)   -4 meV per atom
Electronic total energy   -4.118 eV per atom

First-principles (PBE) data for a relaxed KCr3Cd crystal, as listed in the Alexandria database.

a = 5.3365 Å, b = 5.3365 Å, c = 5.3365 Å
α = 90.00°, β = 90.00°, γ = 90.00°
Site moments in Bohr magnetons follow the coordinates.
Fractional coordinates of all 5 atoms:
Cr1 0.5000 0.0000 0.0000  3.83
K1 0.5000 0.5000 0.5000  0.03
Cr2 0.0000 0.5000 0.0000  4.05
Cd1 0.0000 0.0000 0.0000  0.02
Cr3 0.0000 0.0000 0.5000  4.10

Output
Relative energy among the computed polymorphs   0.000 eV/atom
Density of states at the Fermi level   0.623 states/eV/atom
Theoretical density   3.36 g/cm3
DFT formation energy   127.75 kJ/mol of atoms
Electronic total energy   -4.852 eV per atom

First-principles (PBE) data for a relaxed Pr2DySc crystal, as listed in the Alexandria database.

a = 3.5804 Å, b = 3.5804 Å, c = 11.6056 Å
α = 81.13°, β = 81.13°, γ = 60.00°
Fractional coordinates of all 4 atoms:
Sc1 0.0000 0.0000 0.0000
Dy1 0.5000 0.5000 0.5000
Pr1 0.2531 0.2531 0.2406
Pr2 0.7469 0.7469 0.7594

Output
Relative energy among the computed polymorphs   0.008 eV/atom
Density of states at the Fermi level   1.123 states/eV/atom
Theoretical density   6.41 g/cm3
DFT formation energy   4.70 kJ/mol of atoms
Electronic total energy   -5.074 eV per atom